(1)
A geometry-optimized Ce2PrTc9 structure. Source: Alexandria, functional GGA-PBE.

Cell: 5.507 5.507 9.081 Å, 104.34 104.34 57.33°
Element x y z (fractional)
Ce (0.142, 0.142, 0.428)
Ce (0.858, 0.858, 0.572)
Pr (0.000, 0.000, 0.000)
Tc (0.062, 0.597, 0.243)
Tc (0.351, 0.351, 0.012)
Tc (0.403, 0.938, 0.757)
Tc (0.420, 0.420, 0.742)
Tc (0.500, 0.500, 0.500)
Tc (0.580, 0.580, 0.258)
Tc (0.597, 0.062, 0.243)
Tc (0.649, 0.649, 0.988)
Tc (0.938, 0.403, 0.757)

* ΔE_f: 0.040 eV/atom
* density of states at the Fermi level: 15.82 states/eV per cell


(2)
A geometry-optimized Re2RuO structure. Source: Alexandria, functional GGA-PBE.

Cell: 6.206 6.206 5.554 Å, 90.00 90.00 90.00°
Element x y z (fractional)
Re (0.166, 0.250, 0.125)
Re (0.250, 0.666, 0.375)
Re (0.250, 0.834, 0.875)
Re (0.334, 0.250, 0.625)
Re (0.666, 0.750, 0.625)
Re (0.750, 0.166, 0.875)
Re (0.750, 0.334, 0.375)
Re (0.834, 0.750, 0.125)
Ru (0.000, 0.000, 0.500)
Ru (0.000, 0.500, 0.750)
Ru (0.500, 0.000, 0.250)
Ru (0.500, 0.500, 0.000)
O (0.000, 0.000, 0.000)
O (0.000, 0.500, 0.250)
O (0.500, 0.000, 0.750)
O (0.500, 0.500, 0.500)

* E_form (uncorrected): 0.24 eV/atom
* density of states at the Fermi level: 7.31 states/eV per cell
* energy above the most stable polymorph in this dataset: 0.00 eV/f.u.